Mo4C: optimized geometry, GGA-PBE.

The structure in CIF format:
```
data_Mo4C
_cell_length_a 4.833
_cell_length_b 3.056
_cell_length_c 9.520
_cell_angle_alpha 90.00
_cell_angle_beta 90.72
_cell_angle_gamma 90.00
_space_group_name_H-M_alt 'C 1 2/m 1'
_space_group_IT_number 12
_space_group_name_Hall '-C 2y'
loop_
_atom_site_label
_atom_site_type_symbol
_atom_site_fract_x
_atom_site_fract_y
_atom_site_fract_z
_atom_site_occupancy
Mo1 Mo 0.118 0.000 0.120 1
Mo2 Mo 0.148 0.500 0.362 1
C1 C 0.000 0.000 0.500 1
```

Output
Polymorph energy (0 for the lowest one) in eV per atom: 0.000
Calculated formation energy in meV per atom: 149
Total magnetization in μB per formula unit: 0.00